[1]
Crystalline Ce3YRh4 at its relaxed geometry, computed with PBE.

- crystal system = orthorhombic
- DFT total energy (eV/atom) = -7.493
- spin magnetization (μB/atom) = 0.05
- calculated density (g cm⁻³) = 8.83

a b c (Å): 3.8218 4.1355 10.9606
angles (deg): 90.00 90.00 90.00
With the nearest neighbours (Å) after each atom.
Positions (direct):
Ce 0.0000 0.0000 0.0000  7 Rh 2.85-3.16
Ce 0.0000 0.5000 0.2805  5 Rh 2.87-2.89
Ce 0.5000 0.5000 0.7687  7 Rh 2.84-3.11
Y 0.5000 0.0000 0.4979  5 Rh 2.86-2.94
Rh 0.0000 0.0000 0.7329  5 Ce 2.84-2.93, 2 Rh 2.92
Rh 0.0000 0.5000 0.5444  4 Y 2.86, 3 Ce 2.89-3.11, 2 Rh 2.92
Rh 0.5000 0.0000 0.2299  6 Ce 2.87-3.16, 1 Y 2.94, 2 Rh 2.95
Rh 0.5000 0.5000 0.0381  5 Ce 2.85-2.95, 2 Rh 2.95

[2]
Crystalline CeY2Rh9 at its relaxed geometry, computed with PBE.

- crystal system = trigonal
- DFT total energy (eV/atom) = -7.661
- spin magnetization (μB/atom) = 0.00
- calculated density (g cm⁻³) = 9.77

a b c (Å): 9.3089 9.3089 9.3089
angles (deg): 32.87 32.87 32.87
With the nearest neighbours (Å) after each atom.
Positions (direct):
Ce 0.0000 0.0000 0.0000  6 Rh 3.04
Y 0.1394 0.1394 0.1394  12 Rh 3.02-3.30, 3 Y 3.37
Y 0.8606 0.8606 0.8606  12 Rh 3.02-3.30, 3 Y 3.37
Rh 0.0825 0.5833 0.5833  7 Rh 2.63-2.68
Rh 0.3331 0.3331 0.3331  6 Rh 2.66-2.67
Rh 0.4167 0.4167 0.9175  7 Rh 2.63-2.68
Rh 0.4167 0.9175 0.4167  7 Rh 2.63-2.68
Rh 0.5000 0.5000 0.5000  6 Rh 2.68
Rh 0.5833 0.0825 0.5833  7 Rh 2.63-2.68
Rh 0.5833 0.5833 0.0825  7 Rh 2.63-2.68
Rh 0.6669 0.6669 0.6669  6 Rh 2.66-2.67
Rh 0.9175 0.4167 0.4167  7 Rh 2.63-2.68

[3]
Crystalline CeYRh4 at its relaxed geometry, computed with PBE.

- crystal system = cubic
- DFT total energy (eV/atom) = -7.675
- spin magnetization (μB/atom) = 0.06
- calculated density (g cm⁻³) = 9.79

a b c (Å): 5.3559 5.3559 5.3559
angles (deg): 60.00 60.00 60.00
With the nearest neighbours (Å) after each atom.
Positions (direct):
Ce 0.0000 0.0000 0.0000  12 Rh 3.14, 4 Y 3.28
Y 0.2500 0.2500 0.2500  12 Rh 3.14, 4 Ce 3.28
Rh 0.1257 0.6248 0.6248  6 Rh 2.67-2.68
Rh 0.6248 0.1257 0.6248  6 Rh 2.67-2.68
Rh 0.6248 0.6248 0.1257  6 Rh 2.67-2.68
Rh 0.6248 0.6248 0.6248  6 Rh 2.67-2.68

[4]
Crystalline CeY2Rh3 at its relaxed geometry, computed with PBE.

- crystal system = trigonal
- DFT total energy (eV/atom) = -7.605
- spin magnetization (μB/atom) = 0.04
- calculated density (g cm⁻³) = 8.41

a b c (Å): 4.8840 4.8840 5.9906
angles (deg): 90.00 90.00 120.00
With the nearest neighbours (Å) after each atom.
Positions (direct):
Ce 0.0000 0.0000 0.0000  8 Rh 2.97-3.00
Y 0.3333 0.6667 0.6611  8 Rh 2.95-3.04
Y 0.6667 0.3333 0.3389  8 Rh 2.95-3.04
Rh 0.0000 0.0000 0.5000  6 Y 2.98, 2 Ce 3.00
Rh 0.3333 0.6667 0.1531  5 Y 2.95-3.04, 3 Ce 2.97
Rh 0.6667 0.3333 0.8469  5 Y 2.95-3.04, 3 Ce 2.97

[5]
Crystalline YbCeRh2 at its relaxed geometry, computed with PBE.

- crystal system = cubic
- DFT total energy (eV/atom) = -6.252
- spin magnetization (μB/atom) = 0.00
- calculated density (g cm⁻³) = 10.87

a b c (Å): 4.8223 4.8223 4.8223
angles (deg): 60.00 60.00 60.00
With the nearest neighbours (Å) after each atom.
Positions (direct):
Yb 0.0000 0.0000 0.0000  8 Rh 2.95
Ce 0.5000 0.5000 0.5000  8 Rh 2.95
Rh 0.2500 0.2500 0.2500  4 Ce 2.95, 4 Yb 2.95
Rh 0.7500 0.7500 0.7500  4 Ce 2.95, 4 Yb 2.95

[6]
Crystalline Ce5ZnRh5 at its relaxed geometry, computed with PBE.

- crystal system = monoclinic
- DFT total energy (eV/atom) = -6.688
- spin magnetization (μB/atom) = 0.18
- calculated density (g cm⁻³) = 8.37

a b c (Å): 6.4879 6.4879 8.5497
angles (deg): 109.08 109.08 49.11
With the nearest neighbours (Å) after each atom.
Positions (direct):
Ce 0.0000 0.0000 0.0000  4 Rh 2.61-2.67
Ce 0.3232 0.3232 0.6541  5 Rh 2.74-2.94
Ce 0.3304 0.3304 0.1738  4 Rh 2.71-3.02
Ce 0.6696 0.6696 0.8262  4 Rh 2.71-3.02
Ce 0.6768 0.6768 0.3459  5 Rh 2.74-2.94
Zn 0.0000 0.0000 0.5000  6 Rh 2.56-2.70
Rh 0.1321 0.1321 0.3185  1 Zn 2.56, 3 Ce 2.61-2.74
Rh 0.1418 0.1418 0.8168  1 Zn 2.62, 3 Ce 2.67-2.71
Rh 0.5000 0.5000 0.5000  2 Zn 2.70, 4 Ce 2.79-2.84
Rh 0.8582 0.8582 0.1832  1 Zn 2.62, 3 Ce 2.67-2.71
Rh 0.8679 0.8679 0.6815  1 Zn 2.56, 3 Ce 2.61-2.74

[7]
Crystalline CeZnRh at its relaxed geometry, computed with PBE.

- crystal system = cubic
- DFT total energy (eV/atom) = -5.296
- spin magnetization (μB/atom) = 0.23
- calculated density (g cm⁻³) = 7.58

a b c (Å): 4.5724 4.5724 4.5724
angles (deg): 60.00 60.00 60.00
With the nearest neighbours (Å) after each atom.
Positions (direct):
Ce 0.0000 0.0000 0.0000  4 Rh 2.80
Zn 0.5000 0.5000 0.5000  4 Rh 2.80
Rh 0.7500 0.7500 0.7500  4 Ce 2.80, 4 Zn 2.80

[8]
Crystalline Ce2Zn5Rh at its relaxed geometry, computed with PBE.

- crystal system = orthorhombic
- DFT total energy (eV/atom) = -3.560
- spin magnetization (μB/atom) = 0.13
- calculated density (g cm⁻³) = 7.63

a b c (Å): 8.3573 8.3573 9.0716
angles (deg): 90.00 90.00 150.78
With the nearest neighbours (Å) after each atom.
Positions (direct):
Ce 0.0000 0.0000 0.0000  10 Zn 3.22-3.49, 4 Rh 3.24
Ce 0.0000 0.0000 0.5000  10 Zn 3.22-3.49, 4 Rh 3.24
Ce 0.1857 0.8143 0.7500  2 Rh 2.95, 10 Zn 3.04-3.28
Ce 0.8143 0.1857 0.2500  2 Rh 2.95, 10 Zn 3.04-3.28
Zn 0.1923 0.8077 0.1109  4 Zn 2.50-2.68
Zn 0.1923 0.8077 0.3891  4 Zn 2.50-2.68
Zn 0.3496 0.6504 0.0165  4 Zn 2.50-2.68, 1 Rh 2.59
Zn 0.3496 0.6504 0.4835  4 Zn 2.50-2.68, 1 Rh 2.59
Zn 0.3999 0.6001 0.7500  2 Zn 2.55, 1 Rh 2.56
Zn 0.6001 0.3999 0.2500  2 Zn 2.55, 1 Rh 2.56
Zn 0.6504 0.3496 0.5165  4 Zn 2.50-2.68, 1 Rh 2.59
Zn 0.6504 0.3496 0.9835  4 Zn 2.50-2.68, 1 Rh 2.59
Zn 0.8077 0.1923 0.6109  4 Zn 2.50-2.68
Zn 0.8077 0.1923 0.8891  4 Zn 2.50-2.68
Rh 0.4417 0.5583 0.2500  3 Zn 2.56-2.59
Rh 0.5583 0.4417 0.7500  3 Zn 2.56-2.59

[9]
Crystalline CeZn2Rh2 at its relaxed geometry, computed with PBE.

- crystal system = orthorhombic
- DFT total energy (eV/atom) = -5.115
- spin magnetization (μB/atom) = 0.01
- calculated density (g cm⁻³) = 8.46

a b c (Å): 8.2855 7.5022 5.4612
angles (deg): 77.70 62.21 40.09
With the nearest neighbours (Å) after each atom.
Positions (direct):
Ce 0.1250 0.1250 0.1250  2 Rh 2.38
Ce 0.8750 0.8750 0.8750  2 Rh 2.38
Zn 0.2756 0.2756 0.4744  4 Rh 2.55-2.60, 3 Zn 2.74-2.82
Zn 0.4744 0.4744 0.2756  4 Rh 2.55-2.60, 3 Zn 2.74-2.82
Zn 0.5256 0.5256 0.7244  4 Rh 2.55-2.60, 3 Zn 2.74-2.82
Zn 0.7244 0.7244 0.5256  4 Rh 2.55-2.60, 3 Zn 2.74-2.82
Rh 0.1344 0.6156 0.1344  1 Ce 2.38, 4 Zn 2.55-2.60
Rh 0.3844 0.8656 0.3844  1 Ce 2.38, 4 Zn 2.55-2.60
Rh 0.6156 0.1344 0.6156  1 Ce 2.38, 4 Zn 2.55-2.60
Rh 0.8656 0.3844 0.8656  1 Ce 2.38, 4 Zn 2.55-2.60

[10]
Crystalline Ce6ZnRh at its relaxed geometry, computed with PBE.

- crystal system = monoclinic
- DFT total energy (eV/atom) = -5.609
- spin magnetization (μB/atom) = 0.28
- calculated density (g cm⁻³) = 7.81

a b c (Å): 6.0105 6.0105 6.2904
angles (deg): 99.46 99.46 102.06
With the nearest neighbours (Å) after each atom.
Positions (direct):
Ce 0.0743 0.6518 0.6948  2 Ce 2.70-3.00, 1 Rh 2.76
Ce 0.3204 0.3204 0.8855  1 Rh 2.70, 3 Ce 2.72-3.00
Ce 0.3482 0.9257 0.3051  2 Ce 2.70-3.00, 1 Rh 2.76
Ce 0.6518 0.0743 0.6948  2 Ce 2.70-3.00, 1 Rh 2.76
Ce 0.6796 0.6796 0.1145  1 Rh 2.70, 3 Ce 2.72-3.00
Ce 0.9257 0.3482 0.3051  2 Ce 2.70-3.00, 1 Rh 2.76
Zn 0.5000 0.5000 0.5000  10 Ce 3.07-3.34
Rh 0.0000 0.0000 0.0000  6 Ce 2.70-2.76

[11]
Crystalline CeZn5Rh6 at its relaxed geometry, computed with PBE.

- crystal system = orthorhombic
- DFT total energy (eV/atom) = -5.216
- spin magnetization (μB/atom) = 0.00
- calculated density (g cm⁻³) = 10.10

a b c (Å): 6.8816 6.8816 6.2394
angles (deg): 90.00 90.00 142.87
With the nearest neighbours (Å) after each atom.
Positions (direct):
Ce 0.0000 0.0000 0.0000  8 Rh 2.73-2.74
Zn 0.0000 0.0000 0.5000  8 Rh 2.64-2.69
Zn 0.3293 0.6707 0.0000  8 Rh 2.62-2.77
Zn 0.3337 0.6663 0.5000  8 Rh 2.62-2.67
Zn 0.6663 0.3337 0.5000  8 Rh 2.62-2.67
Zn 0.6707 0.3293 0.0000  8 Rh 2.62-2.77
Rh 0.1699 0.8301 0.2566  7 Zn 2.62-2.71, 1 Ce 2.73
Rh 0.1699 0.8301 0.7434  7 Zn 2.62-2.71, 1 Ce 2.73
Rh 0.5000 0.5000 0.2642  6 Zn 2.62-2.77, 2 Ce 2.74
Rh 0.5000 0.5000 0.7358  6 Zn 2.62-2.77, 2 Ce 2.74
Rh 0.8301 0.1699 0.2566  7 Zn 2.62-2.71, 1 Ce 2.73
Rh 0.8301 0.1699 0.7434  7 Zn 2.62-2.71, 1 Ce 2.73